First-principles (PBE-GGA) data for a relaxed structure of CdMoCl, as listed in Alexandria.

## Properties
For the density of states at the Fermi level, the calculation gives 2.190 states/eV/f.u. Its energy above the most stable polymorph in this dataset is 0.574 eV per atom.

Geometry as POSCAR:
```
CdMoCl
1.0
4.664 0.000 0.000
-2.332 4.039 0.000
0.000 0.000 2.882
Cd Mo Cl
1 1 1
Cartesian
0.000 0.000 0.000
2.332 1.346 1.441
0.000 2.693 1.441
```

=====

First-principles (PBE-GGA) data for a relaxed structure of CrRu2Se, as listed in Alexandria.

## Properties
For the density of states at the Fermi level, the calculation gives 6.328 states/eV/f.u. The value obtained for the total energy is -7.3863 eV/atom.

Geometry as POSCAR:
```
CrRu2Se
1.0
1.471 -2.345 0.000
1.471 2.345 0.000
0.000 0.000 8.580
Cr Ru Se
1 2 1
Cartesian
0.000 0.000 0.000
1.471 0.000 1.962
1.471 0.000 6.618
0.000 0.000 4.290
```

=====

First-principles (PBE-GGA) data for a relaxed structure of InReAs, as listed in Alexandria.

## Properties
For the density of states at the Fermi level, the calculation gives 2.523 states/eV/f.u. Its energy above the most stable polymorph in this dataset is 0.470 eV per atom.

Geometry as POSCAR:
```
InReAs
1.0
0.000 3.132 3.132
3.132 0.000 3.132
3.132 3.132 0.000
In Re As
1 1 1
Cartesian
0.000 0.000 0.000
4.698 4.698 4.698
3.132 3.132 3.132
```

=====

First-principles (PBE-GGA) data for a relaxed structure of ZrMnSb2, as listed in Alexandria.

## Properties
For the density of states at the Fermi level, the calculation gives 2.496 states/eV/f.u. The value obtained for the total energy is -6.6310 eV/atom.

Geometry as POSCAR:
```
ZrMnSb2
1.0
3.724 0.000 0.000
0.000 3.756 0.000
-0.656 0.000 6.230
Zr Mn Sb
1 1 2
Cartesian
0.000 0.000 0.000
-0.328 0.000 3.115
1.263 1.878 4.645
1.805 1.878 1.585
```

=====

First-principles (PBE-GGA) data for a relaxed structure of SnB3Br, as listed in Alexandria.

## Properties
For the density of states at the Fermi level, the calculation gives 2.186 states/eV/f.u. Its energy above the most stable polymorph in this dataset is 0.000 eV per atom.

Geometry as POSCAR:
```
SnB3Br
1.0
4.653 0.000 0.000
0.000 4.653 0.000
0.000 0.000 4.653
Sn B Br
1 3 1
Cartesian
0.000 0.000 0.000
0.000 0.000 2.326
0.000 2.326 0.000
2.326 0.000 0.000
2.326 2.326 2.326
```

=====

First-principles (PBE-GGA) data for a relaxed structure of NaUS2, as listed in Alexandria.

## Properties
For the density of states at the Fermi level, the calculation gives 5.067 states/eV/f.u. The value obtained for the total energy is -6.5534 eV/atom.

Geometry as POSCAR:
```
NaUS2
1.0
4.016 -7.878 0.000
4.016 7.878 0.000
-3.843 0.000 5.710
Na U S
4 4 8
Cartesian
1.134 6.946 4.282
3.055 4.984 1.427
1.134 -4.984 4.282
3.055 -6.946 1.427
1.134 2.995 4.282
3.055 1.031 1.427
1.134 -1.031 4.282
3.055 -2.995 1.427
1.046 2.958 1.523
-0.750 0.981 4.378
1.171 -0.981 1.523
-0.875 -2.958 4.378
5.065 2.958 1.332
3.018 0.981 4.186
4.939 -0.981 1.331
3.143 -2.958 4.187
```

=====

First-principles (PBE-GGA) data for a relaxed structure of AlCd4Te, as listed in Alexandria.

## Properties
For the density of states at the Fermi level, the calculation gives 3.420 states/eV/f.u. The value obtained for the total energy is -1.5188 eV/atom.

Geometry as POSCAR:
```
AlCd4Te
1.0
0.000 4.208 4.208
4.208 0.000 4.208
4.208 4.208 0.000
Al Cd Te
1 4 1
Cartesian
0.000 0.000 0.000
5.269 3.148 3.148
3.148 5.269 3.148
3.148 3.148 5.269
5.269 5.269 5.269
2.104 2.104 2.104
```

=====

First-principles (PBE-GGA) data for a relaxed structure of LiHgSe2, as listed in Alexandria.

## Properties
For the density of states at the Fermi level, the calculation gives 1.486 states/eV/f.u. The value obtained for the total energy is -2.6583 eV/atom.

Geometry as POSCAR:
```
LiHgSe2
1.0
3.562 0.000 0.000
0.000 3.573 0.000
0.000 0.000 8.106
Li Hg Se
1 1 2
Cartesian
0.000 0.000 0.000
0.000 0.000 4.053
1.781 1.787 1.166
1.781 1.787 6.939
```

=====

First-principles (PBE-GGA) data for a relaxed structure of BaTa2Ru, as listed in Alexandria.

## Properties
For the density of states at the Fermi level, the calculation gives 5.635 states/eV/f.u. Its energy above the most stable polymorph in this dataset is 0.676 eV per atom.

Geometry as POSCAR:
```
BaTa2Ru
1.0
0.000 3.457 3.457
3.457 0.000 3.457
3.457 3.457 0.000
Ba Ta Ru
1 2 1
Cartesian
0.000 0.000 0.000
3.457 3.457 3.457
5.185 5.185 5.185
1.728 1.728 1.728
```

=====

First-principles (PBE-GGA) data for a relaxed structure of TcSb2Au, as listed in Alexandria.

## Properties
For the density of states at the Fermi level, the calculation gives 3.184 states/eV/f.u. Its energy above the most stable polymorph in this dataset is 0.328 eV per atom.

Geometry as POSCAR:
```
TcSb2Au
1.0
0.000 3.438 3.438
3.438 0.000 3.438
3.438 3.438 0.000
Tc Sb Au
1 2 1
Cartesian
0.000 0.000 0.000
1.719 1.719 1.719
5.157 5.157 5.157
3.438 3.438 3.438
```

=====

First-principles (PBE-GGA) data for a relaxed structure of LiCr2Ru, as listed in Alexandria.

## Properties
For the density of states at the Fermi level, the calculation gives 4.029 states/eV/f.u. The value obtained for the total energy is -7.1653 eV/atom.

Geometry as POSCAR:
```
LiCr2Ru
1.0
2.958 0.000 0.000
0.000 2.958 0.000
0.000 0.000 5.794
Li Cr Ru
1 2 1
Cartesian
0.000 0.000 0.000
1.479 1.479 1.396
1.479 1.479 4.398
0.000 0.000 2.897
```

=====

First-principles (PBE-GGA) data for a relaxed structure of Ga2BiPdRu, as listed in Alexandria.

## Properties
For the density of states at the Fermi level, the calculation gives 6.904 states/eV/f.u. The value obtained for the total energy is -4.1968 eV/atom.

Geometry as POSCAR:
```
Ga2BiPdRu
1.0
4.655 0.000 0.000
0.000 4.655 0.000
0.000 0.000 5.558
Ga Bi Pd Ru
2 1 1 1
Cartesian
0.000 2.327 0.000
2.327 0.000 0.000
0.000 0.000 2.779
0.000 0.000 0.000
2.327 2.327 2.779
```

=====

First-principles (PBE-GGA) data for a relaxed structure of LiCa2As3Pd4, as listed in Alexandria.

## Properties
For the density of states at the Fermi level, the calculation gives 3.916 states/eV/f.u. The value obtained for the total energy is -4.8492 eV/atom.

Geometry as POSCAR:
```
LiCa2As3Pd4
1.0
4.295 0.000 0.000
0.000 4.295 0.000
0.000 0.000 10.255
Li Ca As Pd
1 2 3 4
Cartesian
0.000 0.000 0.000
0.000 2.147 7.648
2.147 0.000 2.607
0.000 2.147 3.732
2.147 0.000 6.523
2.147 2.147 0.000
0.000 0.000 5.128
0.000 2.147 1.307
2.147 0.000 8.949
2.147 2.147 5.128
```

=====

First-principles (PBE-GGA) data for a relaxed structure of La8SeS3I4, as listed in Alexandria.

## Properties
For the density of states at the Fermi level, the calculation gives 8.919 states/eV/f.u. The value obtained for the total energy is -5.4224 eV/atom.

Geometry as POSCAR:
```
La8SeS3I4
1.0
4.212 2.432 7.887
-4.212 2.432 7.887
0.000 -4.864 7.887
La Se S I
8 1 3 4
Cartesian
-2.179 -1.258 13.407
0.000 0.000 5.481
0.000 -2.516 10.253
-2.179 1.258 10.253
2.179 -1.258 13.407
0.000 2.516 13.407
0.000 0.000 18.179
2.179 1.258 10.253
0.000 0.000 11.830
-4.212 0.000 11.830
-2.106 1.216 3.943
2.106 1.216 3.943
0.000 0.000 0.000
-2.106 -1.216 7.887
-2.106 1.216 15.773
0.000 2.432 7.887
```

=====

First-principles (PBE-GGA) data for a relaxed structure of CrCd, as listed in Alexandria.

## Properties
For the density of states at the Fermi level, the calculation gives 1.789 states/eV/f.u. The value obtained for the total energy is -4.6542 eV/atom.

Geometry as POSCAR:
```
CrCd
1.0
3.124 0.000 0.000
0.000 4.861 0.000
0.000 0.000 5.008
Cr Cd
2 2
Cartesian
0.781 1.215 0.421
2.343 3.646 4.587
0.781 3.646 2.004
2.343 1.215 3.004
```

=====

First-principles (PBE-GGA) data for a relaxed structure of CsTlGa3, as listed in Alexandria.

## Properties
For the density of states at the Fermi level, the calculation gives 5.634 states/eV/f.u. Its energy above the most stable polymorph in this dataset is 0.000 eV per atom.

Geometry as POSCAR:
```
CsTlGa3
1.0
5.744 0.000 0.000
0.000 5.744 0.000
0.000 0.000 5.744
Cs Tl Ga
1 1 3
Cartesian
0.000 0.000 0.000
2.872 2.872 2.872
0.000 2.872 2.872
2.872 0.000 2.872
2.872 2.872 0.000
```

=====

First-principles (PBE-GGA) data for a relaxed structure of Ni2AuSe4, as listed in Alexandria.

## Properties
For the density of states at the Fermi level, the calculation gives 2.648 states/eV/f.u. The value obtained for the total energy is -4.2773 eV/atom.

Geometry as POSCAR:
```
Ni2AuSe4
1.0
10.736 0.000 0.000
0.000 3.591 0.000
0.000 0.000 16.246
Ni Au Se
8 4 16
Cartesian
1.143 0.898 0.987
1.949 0.898 11.169
3.419 2.693 3.046
4.226 2.693 9.110
6.511 0.898 7.136
7.317 0.898 13.200
8.787 2.693 5.077
9.594 2.693 15.259
0.840 0.898 7.154
4.528 2.693 15.277
6.208 0.898 0.969
9.896 2.693 9.092
0.429 0.898 14.971
0.460 2.693 11.211
1.899 0.898 3.325
2.626 0.898 8.864
2.742 2.693 0.741
3.469 2.693 11.448
4.908 0.898 3.088
4.940 2.693 6.848
5.797 0.898 9.398
5.828 2.693 13.158
7.267 0.898 4.798
7.994 0.898 15.505
8.110 2.693 7.382
8.837 2.693 12.921
10.276 0.898 5.035
10.308 2.693 1.275
```

=====

First-principles (PBE-GGA) data for a relaxed structure of TePCl3, as listed in Alexandria.

## Properties
For the density of states at the Fermi level, the calculation gives 3.287 states/eV/f.u. Its energy above the most stable polymorph in this dataset is 0.000 eV per atom.

Geometry as POSCAR:
```
TePCl3
1.0
5.003 0.000 0.000
0.000 5.003 0.000
0.000 0.000 5.003
Te P Cl
1 1 3
Cartesian
0.000 0.000 0.000
2.501 2.501 2.501
0.000 2.501 2.501
2.501 0.000 2.501
2.501 2.501 0.000
```

=====

First-principles (PBE-GGA) data for a relaxed structure of Te3WN, as listed in Alexandria.

## Properties
For the density of states at the Fermi level, the calculation gives 5.054 states/eV/f.u. Its energy above the most stable polymorph in this dataset is 0.000 eV per atom.

Geometry as POSCAR:
```
Te3WN
1.0
4.642 0.000 0.000
0.000 4.642 0.000
0.000 0.000 4.642
Te W N
3 1 1
Cartesian
0.000 0.000 2.321
0.000 2.321 0.000
2.321 0.000 0.000
2.321 2.321 2.321
0.000 0.000 0.000
```

=====

First-principles (PBE-GGA) data for a relaxed structure of Li4PaGe3O12, as listed in Alexandria.

## Properties
For the density of states at the Fermi level, the calculation gives 6.200 states/eV/f.u. The value obtained for the total energy is -6.1268 eV/atom.

Geometry as POSCAR:
```
Li4PaGe3O12
1.0
-3.653 3.653 3.653
3.653 -3.653 3.653
3.653 3.653 -3.653
Li Pa Ge O
4 1 3 12
Cartesian
1.826 1.826 -1.826
1.826 -1.826 1.826
-1.826 1.826 1.826
1.826 1.826 1.826
0.000 0.000 0.000
3.653 0.000 0.000
0.000 3.653 0.000
0.000 0.000 3.653
3.653 2.483 -1.391
2.262 0.000 1.170
5.044 0.000 1.170
1.170 2.262 0.000
2.483 -1.391 3.653
0.000 1.170 2.262
3.653 2.483 1.391
1.170 5.044 0.000
2.483 1.391 3.653
-1.391 3.653 2.483
1.391 3.653 2.483
0.000 1.170 5.044
```